Entry 1:
Compound: GeS
Source: Alexandria via LeMat-Bulk
Functional: PBE-GGA
Structure: relaxed

```
data_GeS
_space_group_name_H-M_alt 'P 4/m'
_space_group_IT_number 83
_space_group_name_Hall '-P 4'
_cell_length_a 11.297
_cell_length_b 11.297
_cell_length_c 3.516
_cell_angle_alpha 90.00
_cell_angle_beta 90.00
_cell_angle_gamma 90.00
loop_
_atom_site_label
_atom_site_fract_x
_atom_site_fract_y
_atom_site_fract_z
_atom_site_occupancy
Ge1 0.076 0.185 0.000 1
Ge2 0.201 0.611 0.500 1
S1 0.006 0.311 0.500 1
S2 0.272 0.286 0.000 1
```

Output
Uncorrected energy in eV per formula unit: -9.17
Crystal system: tetragonal
Formation energy from raw total energies in meV per atom: -215

Entry 2:
Compound: GeS2
Source: Alexandria via LeMat-Bulk
Functional: PBE-GGA
Structure: relaxed

```
data_GeS2
_space_group_name_H-M_alt 'P n n m'
_space_group_IT_number 58
_space_group_name_Hall '-P 2 2n'
_cell_length_a 5.598
_cell_length_b 6.188
_cell_length_c 3.455
_cell_angle_alpha 90.00
_cell_angle_beta 90.00
_cell_angle_gamma 90.00
loop_
_atom_site_label
_atom_site_fract_x
_atom_site_fract_y
_atom_site_fract_z
_atom_site_occupancy
Ge1 0.000 0.000 0.000 1
S1 0.238 0.146 0.500 1
```

Output
Uncorrected energy in eV per formula unit: -12.88
Crystal system: orthorhombic
Formation energy from raw total energies in meV per atom: -2